## A
{
  "formula": "NpHRu2",
  "functional": "PBE",
  "state": "relaxed",
  "cell": [[3.284, 0.000, 0.000], [1.642, 2.844, 0.000], [1.642, 0.948, 6.942]],
  "species": ["H", "Ru", "Ru", "Np"],
  "fractional_positions": [[0.000, 0.000, 0.000], [0.085, 0.085, 0.745], [0.915, 0.915, 0.255], [0.500, 0.500, 0.500]],
  "sg": "R-3m (166)",
  "mass_density_g_cm3": 11.273,
  "dos_at_fermi_per_ev_atom": 0.9839,
  "vol_a3_per_cell": 64.8
}

=====

## B
{
  "formula": "NpHRu2",
  "functional": "PBE",
  "state": "relaxed",
  "cell": [[4.521, -0.210, -2.047], [-0.027, 4.796, 0.383], [-0.365, 0.498, 5.250]],
  "species": ["Ru", "Ru", "Ru", "Ru", "Np", "Np", "H", "H"],
  "fractional_positions": [[0.209, 0.038, 0.629], [0.564, 0.200, 0.290], [0.977, 0.625, 0.256], [0.701, 0.656, 0.628], [0.867, 0.115, 0.962], [0.326, 0.596, 0.944], [0.337, 0.858, 0.295], [0.423, 0.381, 0.625]],
  "sg": "P1 (1)",
  "mass_density_g_cm3": 13.358,
  "dos_at_fermi_per_ev_atom": 1.1635,
  "vol_a3_per_cell": 109.4
}

=====

Least stable: A

=====

## A
{
  "formula": "NpHS2",
  "functional": "PBE",
  "state": "relaxed",
  "cell": [[4.090, -0.005, 0.598], [0.008, 7.184, 0.021], [-1.103, -2.400, 6.232]],
  "species": ["S", "S", "S", "S", "H", "H", "Np", "Np"],
  "fractional_positions": [[0.470, 0.515, 0.348], [0.990, 0.823, 0.794], [0.970, 0.011, 0.355], [0.490, 0.326, 0.787], [0.988, 0.895, 0.015], [0.472, 0.443, 0.127], [0.980, 0.408, 0.573], [0.480, 0.929, 0.569]],
  "sg": "P-1 (2)",
  "mass_density_g_cm3": 5.336,
  "dos_at_fermi_per_ev_atom": 1.8692,
  "vol_a3_per_cell": 188.0
}

=====

## B
{
  "formula": "NpHS2",
  "functional": "PBE",
  "state": "relaxed",
  "cell": [[-3.382, -2.228, -0.752], [-0.721, -3.439, 2.149], [-4.418, 1.342, 4.614]],
  "species": ["Np", "S", "S", "H"],
  "fractional_positions": [[0.500, 0.500, 0.500], [0.090, 0.090, 0.731], [0.910, 0.910, 0.269], [0.000, 0.000, 0.000]],
  "sg": "R-3m (166)",
  "mass_density_g_cm3": 5.618,
  "dos_at_fermi_per_ev_atom": 1.9014,
  "vol_a3_per_cell": 89.3
}

=====

## C
{
  "formula": "NpHS2",
  "functional": "PBE",
  "state": "relaxed",
  "cell": [[3.762, 0.000, 0.000], [0.000, 5.049, -1.772], [0.000, -0.021, 6.886]],
  "species": ["Np", "Np", "S", "S", "S", "S", "H", "H"],
  "fractional_positions": [[0.250, 0.362, 0.218], [0.750, 0.638, 0.782], [0.750, 0.203, 0.914], [0.750, 0.225, 0.436], [0.250, 0.775, 0.564], [0.250, 0.797, 0.086], [0.250, 0.439, 0.744], [0.750, 0.561, 0.256]],
  "sg": "P2_1/m (11)",
  "mass_density_g_cm3": 7.680,
  "dos_at_fermi_per_ev_atom": 1.7970,
  "vol_a3_per_cell": 130.6
}

=====

Least stable: C